Record 1
Compound: Ag2PdW2
Source: Alexandria via LeMat-Bulk
Functional: PBE-GGA
Structure: relaxed

a b c (Å): 8.0593 8.0593 2.7532
angles (deg): 90.00 90.00 90.00
Positions (direct):
Ag 0.1847 0.3153 0.0000
Ag 0.3153 0.8153 0.0000
Ag 0.6847 0.1847 0.0000
Ag 0.8153 0.6847 0.0000
Pd 0.0000 0.0000 0.5000
Pd 0.5000 0.5000 0.5000
W 0.1096 0.6096 0.5000
W 0.3904 0.1096 0.5000
W 0.6096 0.8904 0.5000
W 0.8904 0.3904 0.5000

## Properties
Energy relative to the elements in meV per atom: 898.8
Mass density in kg/m3: 12811
Total DFT energy (no corrections) in eV/atom: -6.461
Symmetry: No. 127



Record 2
Compound: LaY2Ho
Source: Alexandria via LeMat-Bulk
Functional: PBE-GGA
Structure: relaxed

a b c (Å): 3.6191 3.6191 11.5934
angles (deg): 90.00 90.00 120.00
Positions (direct):
La 0.0000 0.0000 0.0000
Y 0.3333 0.6667 0.2547
Y 0.6667 0.3333 0.7453
Ho 0.0000 0.0000 0.5000

## Properties
Energy relative to the elements in meV per atom: 2.3
Mass density in kg/m3: 6082
Total DFT energy (no corrections) in eV/atom: -5.606
Symmetry: No. 164



Record 3
Compound: CaMgTc2
Source: Alexandria via LeMat-Bulk
Functional: PBE-GGA
Structure: relaxed

a b c (Å): 2.7772 4.5557 6.2043
angles (deg): 90.00 94.78 90.00
Positions (direct):
Ca 0.0000 0.0000 0.0000
Mg 0.0000 0.0000 0.5000
Tc 0.4649 0.5000 0.3146
Tc 0.5351 0.5000 0.6854

## Properties
Energy relative to the elements in meV per atom: 472.3
Mass density in kg/m3: 5528
Total DFT energy (no corrections) in eV/atom: -5.610
Symmetry: No. 10



Record 4
Compound: TbHo2ErSc4
Source: Alexandria via LeMat-Bulk
Functional: PBE-GGA
Structure: relaxed

a b c (Å): 9.0680 9.0680 6.4820
angles (deg): 110.94 110.94 88.53
Positions (direct):
Tb 0.0000 0.0000 0.0000
Tb 0.0000 0.0000 0.5000
Ho 0.0000 0.5000 0.0000
Ho 0.5000 0.0000 0.5000
Ho 0.5000 0.5000 0.0000
Ho 0.5000 0.5000 0.5000
Er 0.0000 0.5000 0.5000
Er 0.5000 0.0000 0.0000
Sc 0.2505 0.2512 0.5028
Sc 0.2512 0.2505 0.0028
Sc 0.2509 0.7491 0.9998
Sc 0.2509 0.7491 0.5002
Sc 0.7491 0.2509 0.0002
Sc 0.7491 0.2509 0.4998
Sc 0.7488 0.7495 0.9972
Sc 0.7495 0.7488 0.4972

## Properties
Energy relative to the elements in meV per atom: 435.9
Mass density in kg/m3: 6012
Total DFT energy (no corrections) in eV/atom: -5.023
Symmetry: No. 15